The following is a PBE-GGA calculation of CuRuSe2 after structural relaxation, from the Alexandria database.

VASP energy	-4.65	eV/atom
total magnetic moment	0.0	μB/cell
formation energy from raw total energies	0.436	eV per atom

Geometry as CIF:
```
data_CuRuSe2
_chemical_formula_sum 'Cu2 Ru2 Se4'
_cell_length_a 3.079
_cell_length_b 5.573
_cell_length_c 8.012
_cell_angle_alpha 90.00
_cell_angle_beta 90.00
_cell_angle_gamma 90.00
_symmetry_space_group_name_H-M 'C m m m'
_symmetry_Int_Tables_number 65
_symmetry_space_group_name_Hall '-C 2 2'
loop_
_atom_site_label
_atom_site_type_symbol
_atom_site_fract_x
_atom_site_fract_y
_atom_site_fract_z
_atom_site_occupancy
Cu1 Cu 0.000 0.000 0.000 1
Ru1 Ru 0.000 0.000 0.500 1
Se1 Se 0.000 0.500 0.253 1
```

---

The following is a PBE-GGA calculation of TiAu3I after structural relaxation, from the Alexandria database.

VASP energy	-2.54	eV/atom
polymorph energy (0 for the lowest one)	0.660	eV/atom
total magnetic moment	0.1	μB/cell
formation energy from raw total energies	1.316	eV per atom

Geometry as CIF:
```
data_TiAu3I
_chemical_formula_sum 'Ti1 Au3 I1'
_cell_length_a 5.270
_cell_length_b 5.270
_cell_length_c 5.270
_cell_angle_alpha 90.00
_cell_angle_beta 90.00
_cell_angle_gamma 90.00
_symmetry_space_group_name_H-M 'P m -3 m'
_symmetry_Int_Tables_number 221
_symmetry_space_group_name_Hall '-P 4 2 3'
loop_
_atom_site_label
_atom_site_type_symbol
_atom_site_fract_x
_atom_site_fract_y
_atom_site_fract_z
_atom_site_occupancy
Ti1 Ti 0.000 0.000 0.000 1
Au1 Au 0.000 0.500 0.500 1
I1 I 0.500 0.500 0.500 1
```